No. 1
Compound: YZr2Zn2
Source: Alexandria
Functional: PBE-GGA
Structure: relaxed

Lattice parameters (Å, degrees): 3.3706 4.9174 12.8549 90.00 97.55 90.00
Closest atoms and distances in Å follow each position.
Fractional coordinates of all 10 atoms:
Zn  0.6358  0.7500  0.2716  4 Zr 2.86-3.01, 4 Y 2.99
Zn  0.5481  0.2500  0.0953  6 Zr 2.90-2.98, 2 Y 3.03-3.04
Zn  0.4519  0.7500  0.9047  6 Zr 2.90-2.98, 2 Y 3.03-3.04
Zn  0.3642  0.2500  0.7284  4 Zr 2.86-3.01, 4 Y 2.99
Y  0.1466  0.2500  0.2934  6 Zn 2.99-3.04, 2 Zr 3.31
Y  0.8534  0.7500  0.7066  6 Zn 2.99-3.04, 2 Zr 3.31
Zr  0.7665  0.2500  0.5330  2 Zn 3.01, 4 Zr 3.10, 2 Y 3.31
Zr  0.2335  0.7500  0.4670  2 Zn 3.01, 4 Zr 3.10, 2 Y 3.31
Zr  0.9556  0.2500  0.9098  8 Zn 2.86-2.98
Zr  0.0444  0.7500  0.0902  8 Zn 2.86-2.98

Summary:
DFT formation energy (eV/atom): -0.217
Space group: Cmcm (63)
E above lowest polymorph (meV per atom): 0.0

No. 2
Compound: Y2ZrZn
Source: Alexandria
Functional: PBE-GGA
Structure: relaxed

Lattice parameters (Å, degrees): 5.4018 5.4018 3.4625 89.98 89.98 95.32
Closest atoms and distances in Å follow each position.
Fractional coordinates of all 4 atoms:
Zr  0.0000  0.5000  0.5000  8 Y 3.21, 2 Zr 3.46
Y  0.5000  0.5000  0.0000  4 Zr 3.21, 4 Zn 3.21, 2 Y 3.46
Y  0.0000  0.0000  0.0000  4 Zn 3.21, 4 Zr 3.21, 2 Y 3.46
Zn  0.5000  0.0000  0.5000  8 Y 3.21, 2 Zn 3.46

Summary:
DFT formation energy (eV/atom): 0.032
Space group: Cmmm (65)

No. 3
Compound: Y2ZrZn
Source: Alexandria
Functional: PBE-GGA
Structure: relaxed

Lattice parameters (Å, degrees): 6.2585 6.2585 6.2585 146.17 132.25 59.79
Closest atoms and distances in Å follow each position.
Fractional coordinates of all 4 atoms:
Y  0.9653  0.9653  0.0000  2 Zn 2.96, 4 Y 3.21
Y  0.5347  0.5347  0.0000  2 Zn 2.96, 4 Y 3.21
Zr  0.2500  0.7500  0.5000  4 Zn 3.12, 4 Y 3.45
Zn  0.7500  0.2500  0.5000  4 Y 2.96, 4 Zr 3.12

Summary:
DFT formation energy (eV/atom): 0.004
Space group: Immm (71)

No. 4
Compound: YZr2Zn2
Source: Alexandria
Functional: PBE-GGA
Structure: relaxed

Lattice parameters (Å, degrees): 4.3907 4.3907 6.8323 71.26 71.26 90.00
Closest atoms and distances in Å follow each position.
Fractional coordinates of all 5 atoms:
Zn  0.2500  0.7500  0.5000  4 Zr 2.71
Zn  0.7500  0.2500  0.5000  4 Zr 2.71
Zr  0.6197  0.6197  0.7605  4 Zn 2.71, 1 Zr 2.91
Zr  0.3803  0.3803  0.2395  4 Zn 2.71, 1 Zr 2.91
Y  0.0000  0.0000  0.0000  8 Zr 3.43, 8 Zn 3.75

Summary:
DFT formation energy (eV/atom): 0.167
Space group: I4/mmm (139)
E above lowest polymorph (meV per atom): 383.9

No. 5
Compound: Y2ZrZn
Source: Alexandria
Functional: PBE-GGA
Structure: relaxed

Lattice parameters (Å, degrees): 5.6216 5.6216 5.6216 131.22 131.22 71.47
Closest atoms and distances in Å follow each position.
Fractional coordinates of all 4 atoms:
Zn  0.2500  0.7500  0.5000  8 Y 3.26, 4 Zr 3.28
Zr  0.7500  0.2500  0.5000  8 Y 3.26, 4 Zn 3.28
Y  0.0000  0.0000  0.0000  4 Zr 3.26, 4 Zn 3.26, 4 Y 3.28
Y  0.5000  0.5000  0.0000  4 Zr 3.26, 4 Zn 3.26, 4 Y 3.28

Summary:
DFT formation energy (eV/atom): 0.035
Space group: I4/mmm (139)

No. 6
Compound: Y2ZrZn
Source: Alexandria
Functional: PBE-GGA
Structure: relaxed

Lattice parameters (Å, degrees): 5.1791 5.1791 5.1791 60.00 60.00 60.00
Closest atoms and distances in Å follow each position.
Fractional coordinates of all 4 atoms:
Zr  0.7500  0.7500  0.7500  4 Zn 3.17, 4 Y 3.17
Y  0.2500  0.2500  0.2500  4 Zn 3.17, 4 Y 3.17
Y  0.0000  0.0000  0.0000  4 Y 3.17, 4 Zr 3.17
Zn  0.5000  0.5000  0.5000  4 Zr 3.17, 4 Y 3.17

Summary:
DFT formation energy (eV/atom): 0.159
Space group: F-43m (216)

No. 7
Compound: Y2ZrZn
Source: Alexandria
Functional: PBE-GGA
Structure: relaxed

Lattice parameters (Å, degrees): 4.3865 4.3865 11.1008 78.60 78.60 90.00
Closest atoms and distances in Å follow each position.
Fractional coordinates of all 8 atoms:
Zn  0.5000  0.5000  0.0000  4 Y 3.07, 4 Zr 3.10
Zn  0.2500  0.7500  0.5000  4 Y 3.07, 4 Zr 3.10
Y  0.3750  0.3868  0.7500  4 Y 3.03-3.18, 2 Zn 3.07, 2 Zr 3.10
Y  0.6132  0.1250  0.2500  4 Y 3.03-3.18, 2 Zn 3.07, 2 Zr 3.10
Y  0.8750  0.8632  0.7500  4 Y 3.03-3.18, 2 Zn 3.07, 2 Zr 3.10
Y  0.1368  0.6250  0.2500  4 Y 3.03-3.18, 2 Zn 3.07, 2 Zr 3.10
Zr  0.7500  0.2500  0.5000  4 Zn 3.10, 4 Y 3.10
Zr  0.0000  0.0000  0.0000  4 Zn 3.10, 4 Y 3.10

Summary:
DFT formation energy (eV/atom): 0.366
Space group: I-42d (122)

No. 8
Compound: Y2Zr2Zn
Source: Alexandria
Functional: PBE-GGA
Structure: relaxed

Lattice parameters (Å, degrees): 9.2248 9.2248 9.2248 155.22 155.22 35.32
Closest atoms and distances in Å follow each position.
Fractional coordinates of all 5 atoms:
Y  0.4069  0.4069  0.0000  4 Zn 3.24, 1 Y 3.27, 4 Zr 3.39
Y  0.5931  0.5931  0.0000  4 Zn 3.24, 1 Y 3.27, 4 Zr 3.39
Zn  0.0000  0.0000  0.0000  8 Y 3.24
Zr  0.7500  0.2500  0.5000  4 Zr 2.80
Zr  0.2500  0.7500  0.5000  4 Zr 2.80

Summary:
DFT formation energy (eV/atom): 0.316
Space group: I4/mmm (139)
E above lowest polymorph (meV per atom): 194.5

No. 9
Compound: Y2ZrZn6
Source: Alexandria
Functional: PBE-GGA
Structure: relaxed

Lattice parameters (Å, degrees): 3.3900 7.6808 7.6808 120.00 90.00 90.00
Closest atoms and distances in Å follow each position.
Fractional coordinates of all 9 atoms:
Zn  0.5000  0.0000  0.3274  3 Zn 2.51-2.65
Zn  0.5000  0.3274  0.3274  3 Zn 2.51-2.65
Zn  0.5000  0.6726  0.6726  3 Zn 2.51-2.65
Zn  0.5000  0.6726  0.0000  3 Zn 2.51-2.65
Zn  0.5000  0.0000  0.6726  3 Zn 2.51-2.65
Zn  0.5000  0.3274  0.0000  3 Zn 2.51-2.65
Y  0.0000  0.3333  0.6667  12 Zn 3.09, 2 Y 3.39
Y  0.0000  0.6667  0.3333  12 Zn 3.09, 2 Y 3.39
Zr  0.0000  0.0000  0.0000  12 Zn 3.03, 2 Zr 3.39

Summary:
DFT formation energy (eV/atom): -0.345
Space group: P6/mmm (191)

No. 10
Compound: Y2ZrZn2
Source: Alexandria
Functional: PBE-GGA
Structure: relaxed

Lattice parameters (Å, degrees): 10.4687 10.4687 10.4687 160.82 160.82 27.26
Closest atoms and distances in Å follow each position.
Fractional coordinates of all 5 atoms:
Zn  0.2500  0.7500  0.5000  4 Zn 2.47
Zn  0.7500  0.2500  0.5000  4 Zn 2.47
Y  0.6128  0.6128  0.0000  4 Zn 3.29, 4 Zr 3.37, 4 Y 3.49
Y  0.3872  0.3872  0.0000  4 Zn 3.29, 4 Zr 3.37, 4 Y 3.49
Zr  0.0000  0.0000  0.0000  8 Y 3.37, 4 Zr 3.49

Summary:
DFT formation energy (eV/atom): 0.081
Space group: I4/mmm (139)
E above lowest polymorph (meV per atom): 227.3

No. 11
Compound: Y3ZrZn
Source: Alexandria
Functional: PBE-GGA
Structure: relaxed

Lattice parameters (Å, degrees): 5.5062 5.5062 5.5062 90.00 90.00 90.00
Closest atoms and distances in Å follow each position.
Fractional coordinates of all 5 atoms:
Y  0.0000  0.0000  0.5000  2 Zr 2.75
Y  0.0000  0.5000  0.0000  2 Zr 2.75
Y  0.5000  0.0000  0.0000  2 Zr 2.75
Zn  0.5000  0.5000  0.5000  12 Y 3.89
Zr  0.0000  0.0000  0.0000  6 Y 2.75

Summary:
DFT formation energy (eV/atom): 0.741
Space group: Pm-3m (221)
E above lowest polymorph (meV per atom): 306.4

No. 12
Compound: YZrZn17
Source: Alexandria
Functional: PBE-GGA
Structure: relaxed

Lattice parameters (Å, degrees): 6.7323 6.7323 6.7323 82.72 82.72 82.72
Closest atoms and distances in Å follow each position.
Fractional coordinates of all 19 atoms:
Zn  0.9935  0.5064  0.9935  10 Zn 2.56-2.75
Zn  0.6984  0.2982  0.0022  8 Zn 2.56-2.76
Zn  0.1748  0.6402  0.6402  8 Zn 2.52-2.76
Zn  0.0022  0.2982  0.6984  8 Zn 2.56-2.76
Zn  0.8502  0.3496  0.3496  9 Zn 2.52-2.76
Zn  0.1043  0.1043  0.1043  7 Zn 2.61-2.76
Zn  0.3496  0.8502  0.3496  9 Zn 2.52-2.76
Zn  0.3496  0.3496  0.8502  9 Zn 2.52-2.76
Zn  0.9935  0.9935  0.5064  10 Zn 2.56-2.75
Zn  0.5064  0.9935  0.9935  10 Zn 2.56-2.75
Zn  0.6402  0.1748  0.6402  8 Zn 2.52-2.76
Zn  0.0022  0.6984  0.2982  8 Zn 2.56-2.76
Zn  0.6984  0.0022  0.2982  8 Zn 2.56-2.76
Zn  0.9041  0.9041  0.9041  4 Zn 2.61-2.68
Zn  0.6402  0.6402  0.1748  8 Zn 2.52-2.76
Zn  0.2982  0.6984  0.0022  8 Zn 2.56-2.76
Zn  0.2982  0.0022  0.6984  8 Zn 2.56-2.76
Y  0.6644  0.6644  0.6644  19 Zn 3.13-3.40
Zr  0.3316  0.3316  0.3316  13 Zn 2.97-3.22

Summary:
DFT formation energy (eV/atom): -0.182
Space group: R3m (160)

No. 13
Compound: Y2ZrZn
Source: Alexandria
Functional: PBE-GGA
Structure: relaxed

Lattice parameters (Å, degrees): 3.4689 3.4689 8.4405 90.00 90.00 90.00
Closest atoms and distances in Å follow each position.
Fractional coordinates of all 4 atoms:
Zr  0.5000  0.5000  0.7086  4 Zn 2.91
Y  0.0000  0.0000  0.9719  4 Zr 3.31, 8 Y 3.47-3.68
Y  0.5000  0.5000  0.2971  4 Zn 3.10, 4 Y 3.47, 1 Zr 3.47
Zn  0.0000  0.0000  0.5225  4 Zr 2.91, 4 Y 3.10

Summary:
DFT formation energy (eV/atom): -0.094
Space group: P4mm (99)